Record 1
The following is a PBE calculation of Nd2SiCl after structural relaxation, from Alexandria.

## Properties
uncorrected formation energy: -1.04 eV per atom
spin magnetization: 0.00 Bohr magnetons per cell
symmetry: Pmmn, No. 59

a b c (Å): 4.2222 7.2944 7.2853
angles (deg): 90.00 90.00 90.00
Closest atoms and distances in Å follow each position.
Positions (direct):
Nd: 0.2500 0.0033 0.2260  3 Si 2.94-2.97, 3 Cl 3.14
Nd: 0.2500 0.4967 0.2260  3 Si 2.94-2.97, 3 Cl 3.14
Nd: 0.7500 0.5033 0.7740  3 Si 2.94-2.97, 3 Cl 3.14
Nd: 0.7500 0.9967 0.7740  3 Si 2.94-2.97, 3 Cl 3.14
Si: 0.2500 0.7500 0.9073  6 Nd 2.94-2.97
Si: 0.7500 0.2500 0.0927  6 Nd 2.94-2.97
Cl: 0.2500 0.2500 0.5798  6 Nd 3.14
Cl: 0.7500 0.7500 0.4202  6 Nd 3.14



Record 2
The following is a PBE calculation of TaBeMoW2 after structural relaxation, from Alexandria.

## Properties
spin magnetization: 0.00 Bohr magnetons per cell
symmetry: P4/mmm, No. 123
calculated formation energy: 0.7837 eV/atom

a b c (Å): 4.2003 4.2003 4.4910
angles (deg): 90.00 90.00 90.00
Closest atoms and distances in Å follow each position.
Positions (direct):
Ta: 0.0000 0.0000 0.0000  2 Be 2.25
Be: 0.0000 0.0000 0.5000  4 W 2.10, 2 Ta 2.25
Mo: 0.5000 0.5000 0.0000  4 Ta 2.97, 8 W 3.07
W: 0.0000 0.5000 0.5000  2 Be 2.10
W: 0.5000 0.0000 0.5000  2 Be 2.10



Record 3
The following is a PBE calculation of Li2AcInAu4 after structural relaxation, from Alexandria.

## Properties
spin magnetization: 0.00 Bohr magnetons per cell
symmetry: R-3m, No. 166
calculated formation energy: -0.5712 eV/atom

a b c (Å): 9.7491 9.7491 9.7491
angles (deg): 27.32 27.32 27.32
Closest atoms and distances in Å follow each position.
Positions (direct):
Li: 0.2311 0.2311 0.2311  6 Au 2.71-2.85
Li: 0.7689 0.7689 0.7689  6 Au 2.71-2.85
Ac: 0.0000 0.0000 0.0000  8 Au 3.24-3.42
In: 0.5000 0.5000 0.5000  8 Au 2.84-2.95
Au: 0.1214 0.1214 0.1214  3 Li 2.71, 3 In 2.95
Au: 0.3991 0.3991 0.3991  1 In 2.84, 3 Li 2.85, 3 Au 3.09
Au: 0.6009 0.6009 0.6009  1 In 2.84, 3 Li 2.85, 3 Au 3.09
Au: 0.8786 0.8786 0.8786  3 Li 2.71, 3 In 2.95



Record 4
The following is a PBE calculation of ScPt2Au after structural relaxation, from Alexandria.

## Properties
spin magnetization: 0.00 Bohr magnetons per cell
symmetry: P4mm, No. 99
calculated formation energy: -0.5015 eV/atom

a b c (Å): 2.9804 2.9804 7.7821
angles (deg): 90.00 90.00 90.00
Closest atoms and distances in Å follow each position.
Positions (direct):
Sc: 0.0000 0.0000 0.0000  4 Pt 2.78, 4 Au 2.92, 4 Sc 2.98
Pt: 0.0000 0.0000 0.5152  8 Pt 2.88-2.98, 4 Au 2.90
Pt: 0.5000 0.5000 0.7668  4 Sc 2.78, 8 Pt 2.88-2.98
Au: 0.5000 0.5000 0.2592  4 Pt 2.90, 4 Sc 2.92, 4 Au 2.98



Record 5
The following is a PBE calculation of CePm4Ho4 after structural relaxation, from Alexandria.

## Properties
spin magnetization: 1.36 Bohr magnetons per cell
symmetry: I4/mmm, No. 139
calculated formation energy: 0.0421 eV/atom

a b c (Å): 8.0017 8.0017 8.0017
angles (deg): 95.77 95.77 143.04
Closest atoms and distances in Å follow each position.
Positions (direct):
Ce: 0.0000 0.0000 0.0000  4 Pm 3.54, 8 Ho 3.56
Pm: 0.0000 0.3297 0.3297  1 Ce 3.54, 6 Ho 3.56-3.60, 5 Pm 3.62-3.66
Pm: 0.0000 0.6703 0.6703  1 Ce 3.54, 6 Ho 3.56-3.60, 5 Pm 3.62-3.66
Pm: 0.3297 0.0000 0.3297  1 Ce 3.54, 6 Ho 3.56-3.60, 5 Pm 3.62-3.66
Pm: 0.6703 0.0000 0.6703  1 Ce 3.54, 6 Ho 3.56-3.60, 5 Pm 3.62-3.66
Ho: 0.3354 0.3354 0.6709  4 Ho 3.53-3.63, 2 Ce 3.56, 6 Pm 3.56-3.60
Ho: 0.3354 0.6646 0.0000  4 Ho 3.53-3.63, 2 Ce 3.56, 6 Pm 3.56-3.60
Ho: 0.6646 0.3354 0.0000  4 Ho 3.53-3.63, 2 Ce 3.56, 6 Pm 3.56-3.60
Ho: 0.6646 0.6646 0.3291  4 Ho 3.53-3.63, 2 Ce 3.56, 6 Pm 3.56-3.60



Sequential volume output: 28.0 15.8 21.5 17.3 32.5 Å³/atom